1.
The following is a DFT calculation (PBE-GGA) of a relaxed Ca4GePd crystal.

Cell lengths 6.6854, 7.9158, 8.3035 Å; angles 113.81, 108.43, 100.44 degrees
Last column: nearest neighbours and their distance in Å.
Element x y z (fractional)
1 Ca 0.7869 0.6947 0.6388  2 Pd 3.10-3.18, 2 Ge 3.12-3.16
2 Ca 0.2131 0.3053 0.3612  2 Pd 3.10-3.18, 2 Ge 3.12-3.16
3 Ca 0.9910 0.7575 0.1136  2 Pd 2.95-3.00, 2 Ge 3.06-3.20
4 Ca 0.3518 0.9440 0.6388  2 Pd 3.10-3.18, 2 Ge 3.12-3.16
5 Ca 0.6225 0.3561 0.1136  2 Pd 2.95-3.00, 2 Ge 3.06-3.20
6 Ca 0.3775 0.6439 0.8864  2 Pd 2.95-3.00, 2 Ge 3.06-3.20
7 Ca 0.6482 0.0560 0.3612  2 Pd 3.10-3.18, 2 Ge 3.12-3.16
8 Ca 0.0090 0.2425 0.8864  2 Pd 2.95-3.00, 2 Ge 3.06-3.20
9 Ge 0.3853 0.6353 0.2706  8 Ca 3.06-3.20
10 Ge 0.6147 0.3647 0.7294  8 Ca 3.06-3.20
11 Pd 0.2446 0.9946 0.9892  8 Ca 2.95-3.18
12 Pd 0.7554 0.0054 0.0108  8 Ca 2.95-3.18

space-group type: C2/c (15)

***

2.
The following is a DFT calculation (PBE-GGA) of a relaxed SmLuAu crystal.

Cell lengths 4.9769, 4.9769, 4.9769 Å; angles 60.00, 60.00, 60.00 degrees
Last column: nearest neighbours and their distance in Å.
Element x y z (fractional)
1 Sm 0.5000 0.5000 0.5000  4 Au 3.05
2 Lu 0.0000 0.0000 0.0000  4 Au 3.05
3 Au 0.2500 0.2500 0.2500  4 Sm 3.05, 4 Lu 3.05

space-group type: F-43m (216)
energy above the most stable polymorph in this dataset: 0.0963 eV/atom

***

Energy relative to the elements (meV/atom)
-520.8 -440.1
Spin magnetization (μB/f.u.)
0.000 0.000